! PBE+U NpMnBi2O8, relaxed; values from VASP
! total energy	-7.40	eV/atom
! magnetic moment	4.06	μB/f.u.
! crystal system	triclinic
&SYSTEM
  ibrav = 0, nat = 12, ntyp = 4
/
ATOMIC_SPECIES
Np 237.00 Np.upf
Mn 54.94 Mn.upf
Bi 208.98 Bi.upf
O 16.00 O.upf
ATOMIC_POSITIONS angstrom
Np 0.000 0.000 0.000
Mn 0.035 0.219 3.596
Bi 2.345 2.555 1.917
Bi 3.068 3.064 5.276
O 0.791 1.683 5.939
O 0.873 0.876 1.966
O 1.800 3.937 3.696
O 2.063 4.414 6.957
O 3.350 1.205 0.236
O 3.614 1.682 3.497
O 4.541 4.744 5.227
O 4.623 3.936 1.254
CELL_PARAMETERS angstrom
4.875 0.000 0.000
0.470 5.181 0.000
0.069 0.438 7.193